Record 1
DFT (PBEsol) results for a relaxed Sr3Ca crystal.

Output
Energy: -1.896 eV per atom
Crystal system: orthorhombic
Energy of formation from the pure elements: 18 meV per atom
SG: Imm2

Cell: 7.9035 7.9035 7.9035 Å, 149.91 62.50 126.62°
With the nearest neighbours (Å) after each atom.
Positions (direct):
1 Sr 0.0000 0.0000 0.0000  4 Ca 4.09-4.11, 8 Sr 4.09-4.16
2 Sr 0.0887 0.3352 0.7535  3 Ca 4.09-4.16, 9 Sr 4.09-4.16
3 Sr 0.5818 0.3352 0.2465  3 Ca 4.09-4.16, 9 Sr 4.09-4.16
4 Ca 0.5018 0.0018 0.5000  10 Sr 4.09-4.16, 2 Ca 4.10

Record 2
DFT (PBEsol) results for a relaxed Sr2Ca crystal.

Output
Energy: -1.926 eV per atom
Crystal system: tetragonal
Energy of formation from the pure elements: 12 meV per atom
SG: I4/mmm

Cell: 9.0665 9.0665 9.0665 Å, 153.93 153.93 37.20°
With the nearest neighbours (Å) after each atom.
Positions (direct):
1 Sr 0.1616 0.1616 0.0000  4 Ca 4.01, 8 Sr 4.09-4.20
2 Sr 0.8384 0.8384 0.0000  4 Ca 4.01, 8 Sr 4.09-4.20
3 Ca 0.5000 0.5000 0.0000  8 Sr 4.01, 4 Ca 4.09

Record 3
DFT (PBEsol) results for a relaxed Sr3Ca crystal.

Output
Energy: -1.899 eV per atom
Crystal system: orthorhombic
Energy of formation from the pure elements: 15 meV per atom
SG: Cmmm

Cell: 7.1070 7.1070 4.1077 Å, 90.00 90.00 109.49°
With the nearest neighbours (Å) after each atom.
Positions (direct):
1 Sr 0.0000 0.0000 0.0000  2 Ca 4.10, 10 Sr 4.10-4.11
2 Sr 0.0000 0.5000 0.5000  8 Sr 4.10-4.11, 4 Ca 4.10
3 Sr 0.5000 0.0000 0.5000  8 Sr 4.10-4.11, 4 Ca 4.10
4 Ca 0.5000 0.5000 0.0000  10 Sr 4.10, 2 Ca 4.11

Record 4
DFT (PBEsol) results for a relaxed SrCa crystal.

Output
Energy: -1.962 eV per atom
Crystal system: hexagonal
Energy of formation from the pure elements: 25 meV per atom
SG: P6_3/mmc

Cell: 4.0145 4.0145 13.2443 Å, 90.00 90.00 120.00°
With the nearest neighbours (Å) after each atom.
Positions (direct):
1 Sr 0.0000 0.0000 0.0000  6 Sr 4.01, 6 Ca 4.04
2 Sr 0.0000 0.0000 0.5000  6 Sr 4.01, 6 Ca 4.04
3 Ca 0.3333 0.6667 0.2500  6 Ca 4.01, 6 Sr 4.04
4 Ca 0.6667 0.3333 0.7500  6 Ca 4.01, 6 Sr 4.04

Record 5
DFT (PBEsol) results for a relaxed SrCa crystal.

Output
Energy: -1.943 eV per atom
Crystal system: orthorhombic
Energy of formation from the pure elements: 43 meV per atom
SG: Cmcm

Cell: 7.7618 7.7618 6.3501 Å, 90.00 90.00 150.77°
With the nearest neighbours (Å) after each atom.
Positions (direct):
1 Sr 0.1740 0.8260 0.7500  6 Sr 3.92-4.37, 7 Ca 3.93-4.08
2 Sr 0.8260 0.1740 0.2500  6 Sr 3.92-4.37, 7 Ca 3.93-4.08
3 Ca 0.4356 0.5644 0.7500  4 Ca 3.72-3.92, 7 Sr 3.93-4.08
4 Ca 0.5644 0.4356 0.2500  4 Ca 3.72-3.92, 7 Sr 3.93-4.08

Record 6
DFT (PBEsol) results for a relaxed Sr2Ca crystal.

Output
Energy: -1.926 eV per atom
Crystal system: orthorhombic
Energy of formation from the pure elements: 12 meV per atom
SG: Immm

Cell: 7.0621 7.0621 7.0621 Å, 146.33 132.14 59.79°
With the nearest neighbours (Å) after each atom.
Positions (direct):
1 Sr 0.1640 0.1640 0.0000  7 Sr 4.02-4.10, 5 Ca 4.05-4.11
2 Sr 0.8360 0.8360 0.0000  7 Sr 4.02-4.10, 5 Ca 4.05-4.11
3 Ca 0.5000 0.5000 0.0000  10 Sr 4.05-4.11, 2 Ca 4.09

Record 7
DFT (PBEsol) results for a relaxed Sr2Ca crystal.

Output
Energy: -1.921 eV per atom
Crystal system: orthorhombic
Energy of formation from the pure elements: 17 meV per atom
SG: Cmcm

Cell: 10.8022 10.8022 6.6793 Å, 90.00 90.00 158.29°
With the nearest neighbours (Å) after each atom.
Positions (direct):
1 Sr 0.0574 0.9426 0.7500  2 Ca 4.06, 10 Sr 4.07-4.22
2 Sr 0.3833 0.6167 0.7500  4 Ca 3.96-4.03, 8 Sr 4.07-4.22
3 Sr 0.6167 0.3833 0.2500  4 Ca 3.96-4.03, 8 Sr 4.07-4.22
4 Sr 0.9426 0.0574 0.2500  2 Ca 4.06, 10 Sr 4.07-4.22
5 Ca 0.2770 0.7230 0.2500  6 Sr 3.96-4.06, 6 Ca 4.07
6 Ca 0.7230 0.2770 0.7500  6 Sr 3.96-4.06, 6 Ca 4.07

Record 8
DFT (PBEsol) results for a relaxed SrCa crystal.

Output
Energy: -1.967 eV per atom
Crystal system: monoclinic
Energy of formation from the pure elements: 20 meV per atom
SG: C2/m

Cell: 7.7105 7.7105 6.9414 Å, 116.13 116.13 30.23°
With the nearest neighbours (Å) after each atom.
Positions (direct):
1 Sr 0.1216 0.1216 0.2913  7 Ca 4.00-4.04, 5 Sr 4.01-4.12
2 Sr 0.8784 0.8784 0.7087  7 Ca 4.00-4.04, 5 Sr 4.01-4.12
3 Ca 0.3706 0.3706 0.2029  5 Ca 3.96-4.17, 7 Sr 4.00-4.04
4 Ca 0.6294 0.6294 0.7971  5 Ca 3.96-4.17, 7 Sr 4.00-4.04

Record 9
DFT (PBEsol) results for a relaxed Sr5Ca3 crystal.

Output
Energy: -1.937 eV per atom
Crystal system: orthorhombic
Energy of formation from the pure elements: 13 meV per atom
SG: Cmmm

Cell: 8.1464 8.1464 5.7053 Å, 90.00 90.00 90.23°
With the nearest neighbours (Å) after each atom.
Positions (direct):
1 Sr 0.0000 0.0000 0.0000  8 Sr 4.07-4.09, 4 Ca 4.09
2 Sr 0.0000 0.5000 0.0000  6 Ca 4.05-4.07, 6 Sr 4.06-4.07
3 Sr 0.2549 0.2549 0.5000  6 Ca 4.00-4.14, 6 Sr 4.06-4.09
4 Sr 0.5000 0.0000 0.0000  6 Ca 4.05-4.07, 6 Sr 4.06-4.07
5 Sr 0.7451 0.7451 0.5000  6 Ca 4.00-4.14, 6 Sr 4.06-4.09
6 Ca 0.2536 0.7464 0.5000  10 Sr 4.00-4.14, 2 Ca 4.03
7 Ca 0.5000 0.5000 0.0000  8 Sr 4.01-4.07, 4 Ca 4.03
8 Ca 0.7464 0.2536 0.5000  10 Sr 4.00-4.14, 2 Ca 4.03

Record 10
DFT (PBEsol) results for a relaxed Sr5Ca3 crystal.

Output
Energy: -1.864 eV per atom
Crystal system: hexagonal
Energy of formation from the pure elements: 86 meV per atom
SG: P6_3/mcm

Cell: 11.1063 11.1063 7.3447 Å, 90.00 90.00 120.00°
With the nearest neighbours (Å) after each atom.
Positions (direct):
1 Sr 0.0000 0.2376 0.2500  5 Ca 3.91-4.14
2 Sr 0.0000 0.7624 0.7500  5 Ca 3.91-4.14
3 Sr 0.2376 0.0000 0.2500  5 Ca 3.91-4.14
4 Sr 0.2376 0.2376 0.7500  5 Ca 3.91-4.14
5 Sr 0.3333 0.6667 0.0000  2 Sr 3.67, 6 Ca 3.83
6 Sr 0.3333 0.6667 0.5000  2 Sr 3.67, 6 Ca 3.83
7 Sr 0.6667 0.3333 0.0000  2 Sr 3.67, 6 Ca 3.83
8 Sr 0.6667 0.3333 0.5000  2 Sr 3.67, 6 Ca 3.83
9 Sr 0.7624 0.0000 0.7500  5 Ca 3.91-4.14
10 Sr 0.7624 0.7624 0.2500  5 Ca 3.91-4.14
11 Ca 0.0000 0.4106 0.7500  9 Sr 3.83-4.14, 2 Ca 4.18
12 Ca 0.0000 0.5894 0.2500  9 Sr 3.83-4.14, 2 Ca 4.18
13 Ca 0.4106 0.0000 0.7500  9 Sr 3.83-4.14, 2 Ca 4.18
14 Ca 0.4106 0.4106 0.2500  9 Sr 3.83-4.14, 2 Ca 4.18
15 Ca 0.5894 0.0000 0.2500  9 Sr 3.83-4.14, 2 Ca 4.18
16 Ca 0.5894 0.5894 0.7500  9 Sr 3.83-4.14, 2 Ca 4.18

Record 11
DFT (PBEsol) results for a relaxed Sr2Ca crystal.

Output
Energy: -1.921 eV per atom
Crystal system: monoclinic
Energy of formation from the pure elements: 17 meV per atom
SG: C2/m

Cell: 7.8538 7.8538 9.7065 Å, 105.38 105.38 30.15°
With the nearest neighbours (Å) after each atom.
Positions (direct):
1 Sr 0.1358 0.1358 0.0284  8 Sr 4.00-4.19, 4 Ca 4.06-4.07
2 Sr 0.1887 0.1887 0.6337  5 Ca 4.00-4.18, 7 Sr 4.09-4.15
3 Sr 0.8113 0.8113 0.3663  5 Ca 4.00-4.18, 7 Sr 4.09-4.15
4 Sr 0.8642 0.8642 0.9716  8 Sr 4.00-4.19, 4 Ca 4.06-4.07
5 Ca 0.4722 0.4722 0.6937  9 Sr 4.00-4.18, 3 Ca 4.07-4.09
6 Ca 0.5278 0.5278 0.3063  9 Sr 4.00-4.18, 3 Ca 4.07-4.09

Record 12
DFT (PBEsol) results for a relaxed SrCa crystal.

Output
Energy: -1.964 eV per atom
Crystal system: cubic
Energy of formation from the pure elements: 23 meV per atom
SG: Fd-3m

Cell: 6.3445 6.3445 6.3445 Å, 60.00 60.00 60.00°
With the nearest neighbours (Å) after each atom.
Positions (direct):
1 Sr 0.1250 0.1250 0.1250  4 Ca 3.89, 4 Sr 3.89
2 Sr 0.8750 0.8750 0.8750  4 Ca 3.89, 4 Sr 3.89
3 Ca 0.3750 0.3750 0.3750  4 Ca 3.89, 4 Sr 3.89
4 Ca 0.6250 0.6250 0.6250  4 Sr 3.89, 4 Ca 3.89

Record 13
DFT (PBEsol) results for a relaxed SrCa crystal.

Output
Energy: -1.971 eV per atom
Crystal system: tetragonal
Energy of formation from the pure elements: 16 meV per atom
SG: I4_1/amd

Cell: 6.9628 6.9628 6.9628 Å, 131.79 131.79 70.56°
With the nearest neighbours (Å) after each atom.
Positions (direct):
1 Sr 0.3750 0.6250 0.7500  8 Ca 4.02, 4 Sr 4.02
2 Sr 0.6250 0.3750 0.2500  8 Ca 4.02, 4 Sr 4.02
3 Ca 0.1250 0.8750 0.2500  4 Ca 4.02, 8 Sr 4.02
4 Ca 0.8750 0.1250 0.7500  4 Ca 4.02, 8 Sr 4.02

Record 14
DFT (PBEsol) results for a relaxed SrCa crystal.

Output
Energy: -1.971 eV per atom
Crystal system: orthorhombic
Energy of formation from the pure elements: 15 meV per atom
SG: Pmma

Cell: 6.6095 4.0143 6.9493 Å, 90.00 90.00 90.00°
With the nearest neighbours (Å) after each atom.
Positions (direct):
1 Sr 0.2500 0.0000 0.1707  8 Ca 3.97-4.06, 4 Sr 4.01-4.07
2 Sr 0.7500 0.0000 0.8293  8 Ca 3.97-4.06, 4 Sr 4.01-4.07
3 Ca 0.2500 0.5000 0.6631  8 Sr 3.97-4.06, 4 Ca 4.01
4 Ca 0.7500 0.5000 0.3369  8 Sr 3.97-4.06, 4 Ca 4.01